[1]
The following is a DFT calculation (PBE) of Pr2Sm2CIBr2Cl2 after structural relaxation.

Calculated values
DFT total energy = -5.153 eV per atom
magnetization = 0.036 μB per atom

The structure in CIF format:
```
data_Pr2Sm2CIBr2Cl2
_cell_length_a 18.215
_cell_length_b 3.960
_cell_length_c 8.671
_cell_angle_alpha 90.00
_cell_angle_beta 104.23
_cell_angle_gamma 90.00
_space_group_name_H-M_alt 'C 1 2/m 1'
_space_group_IT_number 12
_space_group_name_Hall '-C 2y'
loop_
_atom_site_label
_atom_site_type_symbol
_atom_site_fract_x
_atom_site_fract_y
_atom_site_fract_z
Pr1 Pr 0.143 0.000 0.079
Sm1 Sm 0.000 0.500 0.195
C1 C 0.000 0.000 0.000
I1 I 0.000 0.000 0.500
Br1 Br 0.169 0.500 0.832
Cl1 Cl 0.158 0.500 0.321
```

***

[2]
The following is a DFT calculation (PBE) of Cu9Ag after structural relaxation.

Calculated values
DFT total energy = -3.581 eV per atom

The structure in CIF format:
```
data_Cu9Ag
_cell_length_a 5.766
_cell_length_b 6.852
_cell_length_c 12.904
_cell_angle_alpha 98.73
_cell_angle_beta 102.84
_cell_angle_gamma 94.78
_space_group_name_H-M_alt 'P 1'
_space_group_IT_number 1
_space_group_name_Hall 'P 1'
loop_
_atom_site_label
_atom_site_type_symbol
_atom_site_fract_x
_atom_site_fract_y
_atom_site_fract_z
Cu1 Cu 0.000 0.000 0.000
Cu2 Cu 0.000 0.508 0.497
Cu3 Cu 0.041 0.638 0.169
Cu4 Cu 0.042 0.131 0.666
Cu5 Cu 0.093 0.751 0.843
Cu6 Cu 0.108 0.258 0.354
Cu7 Cu 0.147 0.882 0.522
Cu8 Cu 0.157 0.395 0.020
Cu9 Cu 0.186 0.000 0.197
Cu10 Cu 0.198 0.506 0.693
Cu11 Cu 0.252 0.639 0.377
Cu12 Cu 0.299 0.258 0.546
Cu13 Cu 0.300 0.759 0.046
Cu14 Cu 0.345 0.875 0.716
Cu15 Cu 0.395 0.006 0.400
Cu16 Cu 0.396 0.516 0.893
Cu17 Cu 0.444 0.124 0.070
Cu18 Cu 0.450 0.633 0.572
Cu19 Cu 0.496 0.258 0.738
Cu20 Cu 0.498 0.758 0.247
Cu21 Cu 0.549 0.872 0.919
Cu22 Cu 0.554 0.390 0.429
Cu23 Cu 0.596 0.006 0.594
Cu24 Cu 0.602 0.515 0.095
Cu25 Cu 0.645 0.630 0.768
Cu26 Cu 0.700 0.759 0.446
Cu27 Cu 0.746 0.878 0.118
Cu28 Cu 0.749 0.384 0.620
Cu29 Cu 0.783 0.995 0.788
Cu30 Cu 0.813 0.516 0.299
Cu31 Cu 0.853 0.132 0.476
Cu32 Cu 0.853 0.639 0.969
Cu33 Cu 0.896 0.259 0.146
Cu34 Cu 0.898 0.756 0.644
Cu35 Cu 0.945 0.390 0.813
Cu36 Cu 0.957 0.877 0.324
Ag1 Ag 0.234 0.129 0.867
Ag2 Ag 0.344 0.388 0.222
Ag3 Ag 0.656 0.129 0.275
Ag4 Ag 0.708 0.258 0.944
```

***

[3]
The following is a DFT calculation (PBE) of KCd5 after structural relaxation.

Calculated values
DFT total energy = -1.007 eV per atom

The structure in CIF format:
```
data_KCd5
_cell_length_a 6.087
_cell_length_b 10.524
_cell_length_c 4.844
_cell_angle_alpha 90.00
_cell_angle_beta 90.00
_cell_angle_gamma 90.00
_space_group_name_H-M_alt 'C m m m'
_space_group_IT_number 65
_space_group_name_Hall '-C 2 2'
loop_
_atom_site_label
_atom_site_type_symbol
_atom_site_fract_x
_atom_site_fract_y
_atom_site_fract_z
K1 K 0.000 0.000 0.000
Cd1 Cd 0.000 0.333 0.000
Cd2 Cd 0.000 0.500 0.500
Cd3 Cd 0.250 0.250 0.500
```

***

Question: Which of these has the highest DFT total energy?
Answer: KCd5